# 1
Computed, not measured: ZnCuSeN2 at its PBEsol-relaxed geometry at the meta-GGA SCAN level of DFT.

Values from the calculation:
* ΔE_f (raw): 1.19 eV/atom

```
5
Lattice="3.673 0.000 0.000 0.000 3.673 0.000 0.000 0.000 5.359" Properties=species:S:1:pos:R:3 pbc="T T T"
Zn 1.837 1.837 2.680
Cu 0.000 0.000 0.000
Se 0.000 0.000 2.680
N 0.000 1.837 0.000
N 1.837 0.000 0.000
```


# 2
Computed, not measured: CuSiN3 at its PBEsol-relaxed geometry at the meta-GGA SCAN level of DFT.

Values from the calculation:
* ΔE_f (raw): 0.89 eV/atom

```
5
Lattice="3.567 0.000 0.000 0.000 3.567 0.000 0.000 0.000 3.567" Properties=species:S:1:pos:R:3 pbc="T T T"
Si 0.000 0.000 0.000
Cu 1.783 1.783 1.783
N 0.000 1.783 0.000
N 0.000 0.000 1.783
N 1.783 0.000 0.000
```